First-principles (PBE) data for crystalline CaTePd at its relaxed geometry, as listed in Alexandria via LeMat-Bulk.

Values from the calculation:
uncorrected formation energy: -0.7383 eV per atom
DFT total energy: -200.81 eV per cell

Unit cell a=5.8533 b=15.1479 c=15.8752 alpha=90.00 beta=90.00 gamma=90.00
Last column: nearest neighbours and their distance in Å.
Space group Fmmm (No. 69)
One atom of each set of equivalent atoms:
Ca (0.0000, 0.1499, 0.1177)  3 Te 3.03-3.15, 1 Pd 3.28
Te (0.0000, 0.1485, 0.3328)  2 Pd 2.61-2.68
Pd (0.0000, 0.0000, 0.4159)  2 Te 2.61, 1 Pd 2.67
Pd (0.0000, 0.1720, 0.5000)  2 Te 2.68, 2 Pd 2.93

First-principles (PBE) data for crystalline SrLiMg2Hg4 at its relaxed geometry, as listed in Alexandria via LeMat-Bulk.

Values from the calculation:
DFT total energy: -32.35 eV per cell
formation energy: -8.046 kcal/mol of atoms

Unit cell a=4.8868 b=4.8868 c=27.8998 alpha=90.00 beta=90.00 gamma=120.00
Last column: nearest neighbours and their distance in Å.
Space group R-3m (No. 166, hexagonal axes)
One atom of each set of equivalent atoms:
Sr (0.0000, 0.0000, 0.0000)  8 Hg 3.32-3.68
Li (0.0000, 0.0000, 0.5000)  8 Hg 2.91-2.98
Mg (0.0000, 0.0000, 0.2378)  7 Hg 2.95-3.00
Hg (0.0000, 0.0000, 0.1319)  4 Mg 2.95-3.00, 3 Li 2.98
Hg (0.0000, 0.0000, 0.3958)  1 Li 2.91, 3 Mg 2.97

First-principles (PBE) data for crystalline AgMoRu2 at its relaxed geometry, as listed in Alexandria via LeMat-Bulk.

Values from the calculation:
DFT total energy: -30.86 eV per cell
formation energy: 7.928 kcal/mol of atoms
ΔE to the lowest computed polymorph: 13.93 kJ/mol of atoms

Unit cell a=2.8091 b=3.7690 c=5.7912 alpha=90.00 beta=90.00 gamma=90.00
Last column: nearest neighbours and their distance in Å.
Space group Pmmm (No. 47)
One atom of each set of equivalent atoms:
Ag (0.0000, 0.0000, 0.0000)  2 Ag 2.81, 8 Ru 2.82, 2 Mo 2.90
Mo (0.0000, 0.0000, 0.5000)  8 Ru 2.71, 2 Mo 2.81, 2 Ag 2.90
Ru (0.5000, 0.5000, 0.2677)  3 Ru 2.69-2.81, 4 Mo 2.71, 4 Ag 2.82

First-principles (PBE) data for crystalline Y2Cu2Ni at its relaxed geometry, as listed in Alexandria via LeMat-Bulk.

Values from the calculation:
DFT total energy: -53.98 eV per cell
formation energy: -0.397 kcal/mol of atoms

Unit cell a=5.3386 b=5.3386 c=7.1687 alpha=90.00 beta=90.00 gamma=90.00
Last column: nearest neighbours and their distance in Å.
Space group I4/mmm (No. 139)
One atom of each set of equivalent atoms:
Y (0.0000, 0.5000, 0.2500)  4 Cu 2.75
Cu (0.0000, 0.0000, 0.1565)  1 Cu 2.24, 1 Ni 2.46
Ni (0.0000, 0.0000, 0.5000)  2 Cu 2.46

First-principles (PBE) data for crystalline BaAlIn2 at its relaxed geometry, as listed in Alexandria via LeMat-Bulk.

Values from the calculation:
DFT total energy: -21.92 eV per cell
formation energy: 1.062 kcal/mol of atoms

Unit cell a=6.7636 b=10.4520 c=3.3933 alpha=90.00 beta=90.00 gamma=90.00
Last column: nearest neighbours and their distance in Å.
Space group Cmmm (No. 65)
One atom of each set of equivalent atoms:
Ba (0.0000, 0.0000, 0.0000)  2 Al 3.38, 2 Ba 3.39, 8 In 3.54
Al (0.0000, 0.5000, 0.0000)  2 Ba 3.38, 2 Al 3.39, 8 In 3.54
In (0.2500, 0.2500, 0.5000)  4 In 3.38-3.39, 4 Ba 3.54, 4 Al 3.54

First-principles (PBE) data for crystalline UCo2P at its relaxed geometry, as listed in Alexandria via LeMat-Bulk.

Values from the calculation:
DFT total energy: -65.94 eV per cell
formation energy: -11.865 kcal/mol of atoms

Unit cell a=3.9001 b=5.2597 c=5.4584 alpha=90.00 beta=90.00 gamma=90.00
Last column: nearest neighbours and their distance in Å.
Space group Pmmn (No. 59, origin choice 2)
One atom of each set of equivalent atoms:
U (0.2500, 0.2500, 0.1084)  6 Co 2.71-2.80, 4 P 2.85-2.99
Co (0.2500, 0.0060, 0.6515)  3 P 2.31-2.34, 3 Co 2.56-2.57
P (0.2500, 0.7500, 0.3077)  6 Co 2.31-2.34

First-principles (PBE) data for crystalline YLu2Mg at its relaxed geometry, as listed in Alexandria via LeMat-Bulk.

Values from the calculation:
DFT total energy: -17.17 eV per cell
formation energy: -0.395 kcal/mol of atoms
ΔE to the lowest computed polymorph: 0.00 kJ/mol of atoms

Unit cell a=3.5345 b=3.5345 c=9.1975 alpha=90.00 beta=90.00 gamma=90.00
Last column: nearest neighbours and their distance in Å.
Space group P4/mmm (No. 123)
One atom of each set of equivalent atoms:
Y (0.0000, 0.0000, 0.0000)  8 Lu 3.50, 4 Y 3.53
Lu (0.5000, 0.5000, 0.2657)  4 Mg 3.30, 4 Y 3.50, 4 Lu 3.53
Mg (0.0000, 0.0000, 0.5000)  8 Lu 3.30, 4 Mg 3.53

First-principles (PBE) data for crystalline BaCaLaY at its relaxed geometry, as listed in Alexandria via LeMat-Bulk.

Values from the calculation:
DFT total energy: -58.17 eV per cell
formation energy: 4.453 kcal/mol of atoms

Unit cell a=8.7165 b=8.7165 c=8.7165 alpha=90.00 beta=90.00 gamma=90.00
Last column: nearest neighbours and their distance in Å.
Space group F-43m (No. 216)
One atom of each set of equivalent atoms:
Ba (0.0000, 0.0000, 0.0000)  4 Ca 3.77, 4 Y 3.77
Ca (0.2500, 0.2500, 0.7500)  4 Ba 3.77, 4 La 3.77
La (0.0000, 0.0000, 0.5000)  4 Ca 3.77, 4 Y 3.77
Y (0.2500, 0.2500, 0.2500)  4 Ba 3.77, 4 La 3.77

First-principles (PBE) data for crystalline Ho3PaAs4 at its relaxed geometry, as listed in Alexandria via LeMat-Bulk.

Values from the calculation:
DFT total energy: -106.22 eV per cell
formation energy: -32.530 kcal/mol of atoms
ΔE to the lowest computed polymorph: 0.38 kJ/mol of atoms

Unit cell a=8.1786 b=11.5660 c=4.1000 alpha=90.00 beta=90.00 gamma=90.00
Last column: nearest neighbours and their distance in Å.
Space group Cmmm (No. 65)
One atom of each set of equivalent atoms:
Ho (0.0000, 0.0000, 0.0000)  6 As 2.90-2.91
Ho (0.2500, 0.2500, 0.5000)  6 As 2.89-2.90
Pa (0.0000, 0.5000, 0.0000)  6 As 2.87-2.89
As (0.0000, 0.2518, 0.0000)  1 Pa 2.87, 5 Ho 2.90-2.91
As (0.2491, 0.5000, 0.5000)  2 Pa 2.89, 4 Ho 2.89-2.90

First-principles (PBE) data for crystalline ZnInCuNi at its relaxed geometry, as listed in Alexandria via LeMat-Bulk.

Values from the calculation:
DFT total energy: -56.49 eV per cell
formation energy: -1.347 kcal/mol of atoms

Unit cell a=6.1431 b=6.1431 c=6.1431 alpha=90.00 beta=90.00 gamma=90.00
Last column: nearest neighbours and their distance in Å.
Space group F-43m (No. 216)
One atom of each set of equivalent atoms:
Zn (0.0000, 0.0000, 0.0000)  4 Ni 2.66, 4 Cu 2.66
In (0.0000, 0.0000, 0.5000)  4 Ni 2.66, 4 Cu 2.66
Cu (0.2500, 0.2500, 0.7500)  4 In 2.66, 4 Zn 2.66
Ni (0.2500, 0.2500, 0.2500)  4 In 2.66, 4 Zn 2.66

First-principles (PBE) data for crystalline TlAuSe2 at its relaxed geometry, as listed in Alexandria via LeMat-Bulk.

Values from the calculation:
uncorrected formation energy: -0.1213 eV per atom
DFT total energy: -26.20 eV per cell

Unit cell a=3.8443 b=6.3249 c=9.2234 alpha=90.00 beta=90.00 gamma=90.00
Last column: nearest neighbours and their distance in Å.
Space group Immm (No. 71)
One atom of each set of equivalent atoms:
Tl (0.0000, 0.0000, 0.0000)  8 Se 3.55-3.56, 4 Au 3.70, 2 Tl 3.84
Au (0.0000, 0.0000, 0.5000)  4 Se 2.52
Se (0.0000, 0.5000, 0.1767)  2 Au 2.52

First-principles (PBE) data for crystalline Ho3P2IrRh9 at its relaxed geometry, as listed in Alexandria via LeMat-Bulk.

Values from the calculation:
DFT total energy: -106.84 eV per cell
formation energy: -11.162 kcal/mol of atoms

Unit cell a=5.7654 b=5.7654 c=9.6008 alpha=90.00 beta=90.00 gamma=120.00
Last column: nearest neighbours and their distance in Å.
Space group P-3m1 (No. 164)
One atom of each set of equivalent atoms:
Ho (0.0000, 0.0000, 0.0000)  12 Rh 2.88-3.15
Ho (0.3333, 0.6667, 0.5946)  9 Rh 3.10-3.46, 3 Ir 3.45
P (0.3333, 0.6667, 0.1562)  6 Rh 2.18-2.24
Ir (0.0000, 0.0000, 0.5000)  6 Rh 2.57
Rh (0.0000, 0.5000, 0.0000)  2 P 2.24
Rh (0.1544, 0.3088, 0.2862)  1 P 2.18

First-principles (PBE) data for crystalline Rb2CoAsCl6 at its relaxed geometry, as listed in Alexandria via LeMat-Bulk.

Values from the calculation:
uncorrected formation energy: -0.9985 eV per atom
DFT total energy: -69.51 eV per cell

Unit cell a=7.4062 b=7.4062 c=9.0939 alpha=90.00 beta=90.00 gamma=90.00
Last column: nearest neighbours and their distance in Å.
Space group I4/mmm (No. 139)
One atom of each set of equivalent atoms:
Rb (0.0000, 0.5000, 0.2500)  12 Cl 3.47-3.70
Co (0.0000, 0.0000, 0.0000)  2 Cl 2.20
As (0.0000, 0.0000, 0.5000)  2 Cl 2.35
Cl (0.0000, 0.0000, 0.2414)  1 Co 2.20, 1 As 2.35
Cl (0.2474, 0.2474, 0.0000)  1 Co 2.59, 1 As 2.65

First-principles (PBE) data for crystalline Ba2TaAu at its relaxed geometry, as listed in Alexandria via LeMat-Bulk.

Values from the calculation:
DFT total energy: -62.58 eV per cell
formation energy: 19.200 kcal/mol of atoms
ΔE to the lowest computed polymorph: 60.06 kJ/mol of atoms

Unit cell a=9.0711 b=9.0711 c=6.6423 alpha=90.00 beta=90.00 gamma=90.00
Last column: nearest neighbours and their distance in Å.
Space group I-42d (No. 122)
One atom of each set of equivalent atoms:
Ba (0.2235, 0.7500, 0.1250)  2 Au 3.15, 2 Ba 3.36, 2 Ta 3.48
Ta (0.0000, 0.0000, 0.5000)  2 Au 3.32, 4 Ba 3.48
Au (0.0000, 0.0000, 0.0000)  4 Ba 3.15, 2 Ta 3.32

First-principles (PBE) data for crystalline BaHfP2O at its relaxed geometry, as listed in Alexandria via LeMat-Bulk.

Values from the calculation:
uncorrected formation energy: -1.2863 eV per atom
DFT total energy: -34.09 eV per cell
ΔE to the lowest computed polymorph: 0.00 kJ/mol of atoms

Unit cell a=5.2670 b=5.2670 c=4.0976 alpha=90.00 beta=90.00 gamma=90.00
Last column: nearest neighbours and their distance in Å.
Space group P4/mmm (No. 123)
One atom of each set of equivalent atoms:
Ba (0.0000, 0.0000, 0.0000)  8 P 3.34, 4 O 3.72
Hf (0.5000, 0.5000, 0.5000)  2 O 2.05
P (0.0000, 0.5000, 0.5000)  2 Hf 2.63
O (0.5000, 0.5000, 0.0000)  2 Hf 2.05

First-principles (PBE) data for crystalline Cs4Hg2Br at its relaxed geometry, as listed in Alexandria via LeMat-Bulk.

Values from the calculation:
uncorrected formation energy: -0.4671 eV per atom
DFT total energy: -17.92 eV per cell
ΔE to the lowest computed polymorph: 9.13 kJ/mol of atoms

Unit cell a=6.7548 b=6.7548 c=23.4812 alpha=90.00 beta=90.00 gamma=90.00
Last column: nearest neighbours and their distance in Å.
Space group I4/mmm (No. 139)
One atom of each set of equivalent atoms:
Cs (0.0000, 0.0000, 0.1812)  1 Hg 3.82
Cs (0.0000, 0.5000, 0.0000)  2 Br 3.38
Hg (0.0000, 0.0000, 0.3441)  1 Br 3.66, 1 Cs 3.82
Br (0.0000, 0.0000, 0.5000)  4 Cs 3.38, 2 Hg 3.66

First-principles (PBE) data for crystalline TiSbBr2 at its relaxed geometry, as listed in Alexandria via LeMat-Bulk.

Values from the calculation:
uncorrected formation energy: -0.3235 eV per atom
DFT total energy: -66.63 eV per cell
ΔE to the lowest computed polymorph: 21.36 kJ/mol of atoms

Unit cell a=9.4140 b=9.4140 c=5.4172 alpha=90.00 beta=90.00 gamma=90.00
Last column: nearest neighbours and their distance in Å.
Space group I-42d (No. 122)
One atom of each set of equivalent atoms:
Ti (0.0000, 0.0000, 0.0000)  4 Br 2.63, 2 Sb 2.71
Sb (0.0000, 0.0000, 0.5000)  2 Ti 2.71
Br (0.1027, 0.2500, 0.1250)  2 Ti 2.63

First-principles (PBE) data for crystalline NdSm at its relaxed geometry, as listed in Alexandria via LeMat-Bulk.

Values from the calculation:
DFT total energy: -9.21 eV per cell
formation energy: 3.243 kcal/mol of atoms
ΔE to the lowest computed polymorph: 12.34 kJ/mol of atoms

Unit cell a=4.1144 b=4.1144 c=4.1144 alpha=90.00 beta=90.00 gamma=90.00
Last column: nearest neighbours and their distance in Å.
Space group Pm-3m (No. 221)
One atom of each set of equivalent atoms:
Nd (0.0000, 0.0000, 0.0000)  8 Sm 3.56
Sm (0.5000, 0.5000, 0.5000)  8 Nd 3.56